Entry 1:
## BaLa3Mn (PBE)

Data for an optimized crystal structure of BaLa3Mn.

a = 5.6324 Å, b = 5.6324 Å, c = 5.6324 Å
α = 90.00°, β = 90.00°, γ = 90.00°
Fractional coordinates of all 5 atoms:
Ba 0.0000 0.0000 0.0000
La 0.0000 0.5000 0.5000
La 0.5000 0.0000 0.5000
La 0.5000 0.5000 0.0000
Mn 0.5000 0.5000 0.5000

- Calculated total energy: -24.86 eV/f.u.
- D(E_F): 0.81 states/eV/atom
- DFT formation energy: 0.204 eV per atom

***

Entry 2:
## BaLa2Mn (PBE)

Data for an optimized crystal structure of BaLa2Mn.

a = 7.8948 Å, b = 7.8948 Å, c = 7.8948 Å
α = 120.05°, β = 120.05°, γ = 89.92°
Fractional coordinates of all 8 atoms:
Ba 0.3750 0.6250 0.7500
Ba 0.6250 0.3750 0.2500
La 0.0000 0.0000 0.0000
La 0.0000 0.0000 0.5000
La 0.0000 0.5000 0.0000
La 0.5000 0.0000 0.5000
Mn 0.1250 0.8750 0.2500
Mn 0.8750 0.1250 0.7500

- Calculated total energy: -19.46 eV/f.u.
- D(E_F): 1.66 states/eV/atom
- Energy above the lowest structure with this stoichiometry: 146 meV/atom
- DFT formation energy: 0.372 eV per atom

***

Entry 3:
## BaLa2Mn (PBE)

Data for an optimized crystal structure of BaLa2Mn.

a = 3.8622 Å, b = 8.9381 Å, c = 8.9381 Å
α = 28.60°, β = 90.00°, γ = 90.00°
Fractional coordinates of all 4 atoms:
Ba 0.0000 0.0000 0.0000
La 0.0000 0.6781 0.6781
La 0.5000 0.3144 0.3144
Mn 0.5000 0.1850 0.1850

- Calculated total energy: -19.63 eV/f.u.
- D(E_F): 1.24 states/eV/atom
- Energy above the lowest structure with this stoichiometry: 104 meV/atom
- DFT formation energy: 0.329 eV per atom

***

Entry 4:
## BaLa2Mn (PBE)

Data for an optimized crystal structure of BaLa2Mn.

a = 7.8031 Å, b = 7.8031 Å, c = 7.8031 Å
α = 36.36°, β = 36.36°, γ = 36.36°
Fractional coordinates of all 4 atoms:
Ba 0.0000 0.0000 0.0000
La 0.2131 0.2131 0.2131
La 0.7869 0.7869 0.7869
Mn 0.5000 0.5000 0.5000

- Calculated total energy: -19.56 eV/f.u.
- D(E_F): 1.08 states/eV/atom
- Energy above the lowest structure with this stoichiometry: 122 meV/atom
- DFT formation energy: 0.348 eV per atom

***

Entry 5:
## BaLa2Mn2 (PBE)

Data for an optimized crystal structure of BaLa2Mn2.

a = 9.1573 Å, b = 9.1573 Å, c = 3.6141 Å
α = 90.00°, β = 90.00°, γ = 90.00°
Fractional coordinates of all 10 atoms:
Ba 0.0000 0.0000 0.0000
Ba 0.5000 0.5000 0.0000
La 0.1350 0.3650 0.0000
La 0.3650 0.8650 0.0000
La 0.6350 0.1350 0.0000
La 0.8650 0.6350 0.0000
Mn 0.1553 0.6553 0.5000
Mn 0.3447 0.1553 0.5000
Mn 0.6553 0.8447 0.5000
Mn 0.8447 0.3447 0.5000

- Calculated total energy: -28.14 eV/f.u.
- D(E_F): 1.27 states/eV/atom
- Energy above the lowest structure with this stoichiometry: 0 meV/atom
- DFT formation energy: 0.396 eV per atom

***

Entry 6:
## BaLa2Mn (PBE)

Data for an optimized crystal structure of BaLa2Mn.

a = 7.1311 Å, b = 7.1311 Å, c = 7.1311 Å
α = 148.37°, β = 131.89°, γ = 58.72°
Fractional coordinates of all 4 atoms:
Ba 0.0000 0.0000 0.0000
La 0.2956 0.7956 0.5000
La 0.5953 0.5953 0.0000
Mn 0.7774 0.2774 0.5000

- Calculated total energy: -19.49 eV/f.u.
- D(E_F): 1.45 states/eV/atom
- Energy above the lowest structure with this stoichiometry: 139 meV/atom
- DFT formation energy: 0.365 eV per atom

***

Entry 7:
## BaLa4Mn (PBE)

Data for an optimized crystal structure of BaLa4Mn.

a = 6.8102 Å, b = 6.8102 Å, c = 6.8102 Å
α = 60.00°, β = 60.00°, γ = 60.00°
Fractional coordinates of all 6 atoms:
Ba 0.0000 0.0000 0.0000
La 0.1405 0.6198 0.6198
La 0.6198 0.1405 0.6198
La 0.6198 0.6198 0.1405
La 0.6198 0.6198 0.6198
Mn 0.2500 0.2500 0.2500

- Calculated total energy: -27.67 eV/f.u.
- D(E_F): 1.31 states/eV/atom
- DFT formation energy: 0.523 eV per atom